Record 1
# Ba2AcCd

An optimized crystal structure of Ba2AcCd (GGA-PBE, the Alexandria database).

```
data_Ba2AcCd
_space_group_name_H-M_alt 'P 1'
_space_group_IT_number 1
_cell_length_a 4.161
_cell_length_b 4.161
_cell_length_c 10.508
_cell_angle_alpha 90.00
_cell_angle_beta 90.00
_cell_angle_gamma 90.00
loop_
_space_group_symop_operation_xyz
'x,y,z'
loop_
_atom_site_label
_atom_site_type_symbol
_atom_site_fract_x
_atom_site_fract_y
_atom_site_fract_z
Ba1 Ba 0.000 0.000 0.204
Ac1 Ac 0.500 0.500 0.500
Ba2 Ba 0.000 0.000 0.796
Cd1 Cd 0.500 0.500 0.000
```

Symmetry ... No. 123
DFT total energy ... -2.2962 eV/atom
Total magnetic moment ... 0.00 μB/f.u.

Record 2
# Ba2AcCd6

An optimized crystal structure of Ba2AcCd6 (GGA-PBE, the Alexandria database).

```
data_Ba2AcCd6
_space_group_name_H-M_alt 'P 1'
_space_group_IT_number 1
_cell_length_a 3.959
_cell_length_b 9.115
_cell_length_c 9.115
_cell_angle_alpha 60.00
_cell_angle_beta 90.01
_cell_angle_gamma 90.01
loop_
_space_group_symop_operation_xyz
'x,y,z'
loop_
_atom_site_label
_atom_site_type_symbol
_atom_site_fract_x
_atom_site_fract_y
_atom_site_fract_z
Cd1 Cd 0.500 0.669 0.000
Cd2 Cd 0.500 0.000 0.331
Ba1 Ba 0.000 0.667 0.667
Cd3 Cd 0.500 0.000 0.669
Ba2 Ba 0.000 0.333 0.333
Ac1 Ac 0.000 0.000 0.000
Cd4 Cd 0.500 0.331 0.000
Cd5 Cd 0.500 0.331 0.669
Cd6 Cd 0.500 0.669 0.331
```

Symmetry ... No. 191
DFT total energy ... -1.8102 eV/atom
Total magnetic moment ... 0.00 μB/f.u.